The following is a GGA-PBE calculation of Fe2Pd3Pt2 after structural relaxation, from the Alexandria database.

The space group is C2/m (No. 12) and the conventional cell measures 8.5459, 3.9378 and 6.2500 Å, with angles of 90.00, 100.76 and 90.00 degrees. The asymmetric unit holds Fe at (0.2092, 0.0000, 0.1556), Pd at (0.0000, 0.5000, 0.0000), Pd at (0.1411, 0.5000, 0.4302) and Pt at (0.0847, 0.0000, 0.7386).

The spin magnetization comes out at 16.13 μB per cell. The calculation puts the total energy at -6.516 eV per atom. The crystal system is monoclinic.



The following is a GGA-PBE calculation of Fe7Pd6Pt16 after structural relaxation, from the Alexandria database.

The space group is Fm-3m (No. 225) and the conventional cell measures 12.1873, 12.1873 and 12.1873 Å, with angles of 90.00, 90.00 and 90.00 degrees. The asymmetric unit holds Fe at (0.0000, 0.0000, 0.0000), Fe at (0.0000, 0.2500, 0.2500), Pd at (0.0000, 0.0000, 0.3029), Pt at (0.1187, 0.1187, 0.1187) and Pt at (0.1600, 0.1600, 0.3400).

The spin magnetization comes out at 114.15 μB per cell. The calculation puts the total energy at -6.499 eV per atom. The crystal system is cubic.



The following is a GGA-PBE calculation of Fe4PdPt3 after structural relaxation, from the Alexandria database.

The space group is Pmmm (No. 47) and the conventional cell measures 3.7513, 3.8706 and 7.7358 Å, with angles of 90.00, 90.00 and 90.00 degrees. The asymmetric unit holds Fe at (0.0000, 0.0000, 0.0000), Fe at (0.0000, 0.0000, 0.5000), Fe at (0.0000, 0.5000, 0.2488), Pd at (0.5000, 0.5000, 0.5000), Pt at (0.5000, 0.0000, 0.2515) and Pt at (0.5000, 0.5000, 0.0000).

The spin magnetization comes out at 13.62 μB per cell. The calculation puts the total energy at -7.348 eV per atom. The crystal system is orthorhombic.



The following is a GGA-PBE calculation of Fe3Pd2Pt3 after structural relaxation, from the Alexandria database.

The space group is C2/m (No. 12) and the conventional cell measures 11.9539, 4.4410 and 4.7220 Å, with angles of 90.00, 109.46 and 90.00 degrees. The asymmetric unit holds Fe at (0.0000, 0.0000, 0.0000), Fe at (0.1326, 0.0000, 0.7022), Pd at (0.2496, 0.0000, 0.3159), Pt at (0.0000, 0.5000, 0.5000) and Pt at (0.1240, 0.5000, 0.0801).

The spin magnetization comes out at 21.13 μB per cell. The calculation puts the total energy at -6.799 eV per atom. The crystal system is monoclinic.



The following is a GGA-PBE calculation of FePd14Pt after structural relaxation, from the Alexandria database.

The space group is Amm2 (No. 38) and the conventional cell measures 9.1288, 5.5624 and 9.6209 Å, with angles of 90.00, 90.00 and 90.00 degrees. The asymmetric unit holds Fe at (0.0000, 0.0000, 0.0000), Pd at (0.0000, 0.2492, 0.2517), Pd at (0.2446, 0.2477, 0.0829), Pd at (0.2461, 0.0000, 0.8355), Pd at (0.2507, 0.0000, 0.3340), Pd at (0.5000, 0.0000, 0.1666), Pd at (0.5000, 0.0000, 0.6668), Pd at (0.5000, 0.2505, 0.4171) and Pt at (0.0000, 0.0000, 0.5000).

The spin magnetization comes out at 14.13 μB per cell. The calculation puts the total energy at -5.474 eV per atom. The crystal system is orthorhombic.



The following is a GGA-PBE calculation of Fe3Pd8Pt2 after structural relaxation, from the Alexandria database.

The space group is P2/m (No. 10) and the conventional cell measures 8.1865, 3.6957 and 8.2128 Å, with angles of 90.00, 119.87 and 90.00 degrees. The asymmetric unit holds Fe at (0.0000, 0.0000, 0.0000), Fe at (0.2299, 0.5000, 0.9997), Pd at (0.1222, 0.0000, 0.7470), Pd at (0.1279, 0.5000, 0.2557), Pd at (0.3749, 0.0000, 0.2523), Pd at (0.4008, 0.5000, 0.8014) and Pt at (0.2596, 0.0000, 0.5186).

The spin magnetization comes out at 11.50 μB per cell. The calculation puts the total energy at -5.900 eV per atom. The crystal system is monoclinic.



The following is a GGA-PBE calculation of Fe2PdPt after structural relaxation, from the Alexandria database.

The space group is Cmmm (No. 65) and the conventional cell measures 5.4616, 7.4998 and 2.7220 Å, with angles of 90.00, 90.00 and 90.00 degrees. The asymmetric unit holds Fe at (0.2500, 0.2500, 0.0000), Pd at (0.0000, 0.0000, 0.5000) and Pt at (0.0000, 0.5000, 0.5000).

The spin magnetization comes out at 13.17 μB per cell. The calculation puts the total energy at -7.202 eV per atom. The crystal system is orthorhombic.



The following is a GGA-PBE calculation of Fe4PdPt after structural relaxation, from the Alexandria database.

The space group is F-43m (No. 216) and the conventional cell measures 6.7749, 6.7749 and 6.7749 Å, with angles of 90.00, 90.00 and 90.00 degrees. The asymmetric unit holds Fe at (0.1249, 0.1249, 0.1249), Pd at (0.2500, 0.2500, 0.7500) and Pt at (0.0000, 0.0000, 0.5000).

The spin magnetization comes out at 41.84 μB per cell. The calculation puts the total energy at -7.568 eV per atom. The crystal system is cubic.



The following is a GGA-PBE calculation of FePd3Pt12 after structural relaxation, from the Alexandria database.

The space group is P4/mmm (No. 123) and the conventional cell measures 3.9424, 3.9424 and 15.8766 Å, with angles of 90.00, 90.00 and 90.00 degrees. The asymmetric unit holds Fe at (0.0000, 0.0000, 0.0000), Pd at (0.0000, 0.0000, 0.2475), Pd at (0.0000, 0.0000, 0.5000), Pt at (0.0000, 0.5000, 0.1199), Pt at (0.0000, 0.5000, 0.3740), Pt at (0.5000, 0.5000, 0.0000), Pt at (0.5000, 0.5000, 0.2471) and Pt at (0.5000, 0.5000, 0.5000).

The spin magnetization comes out at 5.42 μB per cell. The calculation puts the total energy at -6.120 eV per atom. The crystal system is tetragonal.



The following is a GGA-PBE calculation of FePd2Pt6 after structural relaxation, from the Alexandria database.

The space group is C2/c (No. 15) and the conventional cell measures 11.0161, 9.1435 and 6.8275 Å, with angles of 90.00, 123.98 and 90.00 degrees. The asymmetric unit holds Fe at (0.0000, 0.1737, 0.2500), Pd at (0.1921, 0.4061, 0.4109), Pt at (0.0154, 0.3673, 0.5711), Pt at (0.0995, 0.0817, 0.6890) and Pt at (0.2028, 0.1804, 0.1329).

The spin magnetization comes out at 18.21 μB per cell. The calculation puts the total energy at -6.113 eV per atom. The crystal system is monoclinic.